4
Lattice="4.130 0.000 0.000 0.000 5.851 0.000 0.000 0.000 4.130" Properties=species:S:1:pos:R:3 comment="Mg2SeS, optimized geometry, DFT GGA-PBE" de_polymorph_ev_per_fu=0.017 magmom_total_mub_per_atom=0.00 crystal_system=tetragonal energy_ev_per_atom=-4.029 e_form_raw_mev_per_atom=-1329 pbc="T T T"
Mg 0.000 0.077 0.000
Mg 2.065 2.849 2.065
Se 2.065 4.389 0.000
S 0.000 1.463 2.065

---

4
Lattice="3.746 0.000 0.000 1.873 3.244 0.000 1.873 1.081 6.524" Properties=species:S:1:pos:R:3 comment="Mg2SeS, optimized geometry, DFT GGA-PBE" de_polymorph_ev_per_fu=0.519 magmom_total_mub_per_atom=0.00 crystal_system=trigonal energy_ev_per_atom=-3.903 e_form_raw_mev_per_atom=-1203 pbc="T T T"
Mg 1.873 1.081 4.842
Mg 1.873 1.081 1.668
Se 5.619 3.244 6.481
S 3.746 2.163 3.320

---

10
Lattice="7.242 0.000 0.000 0.000 7.242 0.000 0.000 0.000 4.307" Properties=species:S:1:pos:R:3 comment="MgSe2S2, optimized geometry, DFT GGA-PBE" de_polymorph_ev_per_fu=0.410 magmom_total_mub_per_atom=0.00 crystal_system=tetragonal energy_ev_per_atom=-3.476 e_form_raw_mev_per_atom=-113 pbc="T T T"
S 2.119 5.740 0.000
S 5.740 5.123 0.000
S 5.123 1.502 0.000
S 1.502 2.119 0.000
Mg 0.000 0.000 0.000
Mg 3.621 3.621 0.000
Se 1.356 4.977 2.154
Se 4.977 5.887 2.154
Se 5.887 2.265 2.154
Se 2.265 1.356 2.154

---

4
Lattice="2.307 0.000 7.524 -1.153 1.998 7.524 -1.153 -1.998 7.524" Properties=species:S:1:pos:R:3 comment="MgSe2S, optimized geometry, DFT GGA-PBE" de_polymorph_ev_per_fu=0.000 magmom_total_mub_per_atom=0.00 crystal_system=trigonal energy_ev_per_atom=-3.350 e_form_raw_mev_per_atom=-177 pbc="T T T"
S 0.000 0.000 0.000
Mg 0.000 0.000 11.285
Se 0.000 0.000 20.230
Se 0.000 0.000 2.341

---

4
Lattice="2.132 0.000 7.574 -1.066 1.846 7.574 -1.066 -1.846 7.574" Properties=species:S:1:pos:R:3 comment="MgSeS2, optimized geometry, DFT GGA-PBE" de_polymorph_ev_per_fu=0.240 magmom_total_mub_per_atom=0.00 crystal_system=trigonal energy_ev_per_atom=-3.726 e_form_raw_mev_per_atom=-393 pbc="T T T"
S 0.000 0.000 20.375
S 0.000 0.000 2.348
Mg 0.000 0.000 11.362
Se 0.000 0.000 0.000

---

4
Lattice="0.000 3.364 3.364 3.364 0.000 3.364 3.364 3.364 0.000" Properties=species:S:1:pos:R:3 comment="Mg2SeS, optimized geometry, DFT GGA-PBE" de_polymorph_ev_per_fu=2.414 magmom_total_mub_per_atom=0.00 crystal_system=cubic energy_ev_per_atom=-3.430 e_form_raw_mev_per_atom=-730 pbc="T T T"
S 0.000 0.000 0.000
Mg 1.682 1.682 1.682
Mg 5.046 5.046 5.046
Se 3.364 3.364 3.364

---

| no. | DOS(E_F) (states/eV/atom) |
| --- | --- |
| 1 | 0.00 |
| 2 | 0.00 |
| 3 | 0.73 |
| 4 | 1.66 |
| 5 | 0.52 |
| 6 | 0.21 |